A relaxed Nd2DyY6Tm3 crystal, computed with PBE.

a = 6.183 Å, b = 10.698 Å, c = 11.813 Å
α = 90.00°, β = 100.01°, γ = 90.00°
Space group C2/m (No. 12)
Inequivalent atoms, fractional coordinates:
Nd 0.000 0.167 0.000 (multiplicity 4)
Dy 0.000 0.500 0.000 (multiplicity 2)
Y 0.247 0.500 0.746 (multiplicity 4)
Y 0.249 0.166 0.746 (multiplicity 8)
Tm 0.000 0.000 0.500 (multiplicity 2)
Tm 0.000 0.334 0.500 (multiplicity 4)

* total DFT energy (no corrections): -66.057 eV/f.u.